# 1
Here is a relaxed structure of LiZrH2O4 from Alexandria. Energies are from PBE.

Calculated values
- VASP energy (eV per cell) = -102.0

The structure in CIF format:
```
data_LiZrH2O4
_cell_length_a 4.742
_cell_length_b 5.003
_cell_length_c 5.424
_cell_angle_alpha 90.00
_cell_angle_beta 90.00
_cell_angle_gamma 90.00
_symmetry_space_group_name_H-M 'I 2 2 2'
_symmetry_Int_Tables_number 23
loop_
_symmetry_equiv_pos_as_xyz
'x,y,z'
'-x,-y,z'
'x,-y,-z'
'-x,y,-z'
'x+1/2,y+1/2,z+1/2'
'-x+1/2,-y+1/2,z+1/2'
'x+1/2,-y+1/2,-z+1/2'
'-x+1/2,y+1/2,-z+1/2'
loop_
_atom_site_label
_atom_site_type_symbol
_atom_site_fract_x
_atom_site_fract_y
_atom_site_fract_z
Li1 Li 0.000 0.000 0.000
Zr1 Zr 0.000 0.000 0.500
H1 H 0.000 0.500 0.263
O1 O 0.197 0.351 0.265
```

# 2
Here is a relaxed structure of Li3H7Os from Alexandria. Energies are from PBE.

Calculated values
- VASP energy (eV per cell) = -87.9

The structure in CIF format:
```
data_Li3H7Os
_cell_length_a 6.818
_cell_length_b 6.754
_cell_length_c 4.933
_cell_angle_alpha 90.00
_cell_angle_beta 131.73
_cell_angle_gamma 90.00
_symmetry_space_group_name_H-M 'C 1 m 1'
_symmetry_Int_Tables_number 8
loop_
_symmetry_equiv_pos_as_xyz
'x,y,z'
'x,-y,z'
'x+1/2,y+1/2,z'
'x+1/2,-y+1/2,z'
loop_
_atom_site_label
_atom_site_type_symbol
_atom_site_fract_x
_atom_site_fract_y
_atom_site_fract_z
Li1 Li 0.000 0.000 0.000
Li2 Li 0.002 0.277 0.545
H1 H 0.110 0.263 0.220
H2 H 0.203 0.500 0.937
H3 H 0.318 0.140 0.731
H4 H 0.347 0.500 0.506
H5 H 0.359 0.000 0.213
Os1 Os 0.041 0.500 0.089
```

# 3
Here is a relaxed structure of Li2H6Os from Alexandria. Energies are from PBE.

Calculated values
- relative energy among the computed polymorphs (eV per atom) = 0.061

The structure in CIF format:
```
data_Li2H6Os
_cell_length_a 4.048
_cell_length_b 4.048
_cell_length_c 8.934
_cell_angle_alpha 90.00
_cell_angle_beta 90.00
_cell_angle_gamma 90.00
_symmetry_space_group_name_H-M 'P 42/m n m'
_symmetry_Int_Tables_number 136
_symmetry_space_group_name_Hall '-P 4n 2n'
loop_
_atom_site_label
_atom_site_type_symbol
_atom_site_fract_x
_atom_site_fract_y
_atom_site_fract_z
Li1 Li 0.000 0.000 0.164
H1 H 0.175 0.175 0.345
H2 H 0.203 0.203 0.000
Os1 Os 0.000 0.000 0.500
```

# 4
Here is a relaxed structure of LiH3Os from Alexandria. Energies are from PBE.

Calculated values
- relative energy among the computed polymorphs (eV per atom) = 0.000

The structure in CIF format:
```
data_LiH3Os
_cell_length_a 3.437
_cell_length_b 3.437
_cell_length_c 3.437
_cell_angle_alpha 90.00
_cell_angle_beta 90.00
_cell_angle_gamma 90.00
_symmetry_space_group_name_H-M 'P m -3 m'
_symmetry_Int_Tables_number 221
_symmetry_space_group_name_Hall '-P 4 2 3'
loop_
_atom_site_label
_atom_site_type_symbol
_atom_site_fract_x
_atom_site_fract_y
_atom_site_fract_z
Li1 Li 0.000 0.000 0.000
H1 H 0.000 0.500 0.500
Os1 Os 0.500 0.500 0.500
```

# 5
Here is a relaxed structure of Li4H6Os from Alexandria. Energies are from PBE.

Calculated values
- relative energy among the computed polymorphs (eV per atom) = 0.000

The structure in CIF format:
```
data_Li4H6Os
_cell_length_a 8.1153
_cell_length_b 8.1153
_cell_length_c 9.9930
_cell_angle_alpha 90.00
_cell_angle_beta 90.00
_cell_angle_gamma 120.00
_symmetry_space_group_name_H-M 'R -3 c'
_symmetry_Int_Tables_number 167
_symmetry_space_group_name_Hall '-R 3 2"c'
loop_
_atom_site_label
_atom_site_type_symbol
_atom_site_fract_x
_atom_site_fract_y
_atom_site_fract_z
Li1 Li 0.0000 0.0000 0.2500
Li2 Li 0.0000 0.3843 0.2500
H1 H 0.0430 0.1911 0.4000
Os1 Os 0.0000 0.0000 0.0000
```

# 6
Here is a relaxed structure of Li2H6Os from Alexandria. Energies are from PBE.

Calculated values
- relative energy among the computed polymorphs (eV per atom) = 0.000

The structure in CIF format:
```
data_Li2H6Os
_cell_length_a 3.800
_cell_length_b 3.800
_cell_length_c 8.424
_cell_angle_alpha 90.00
_cell_angle_beta 90.00
_cell_angle_gamma 90.00
_symmetry_space_group_name_H-M 'P 4/m n c'
_symmetry_Int_Tables_number 128
_symmetry_space_group_name_Hall '-P 4 2n'
loop_
_atom_site_label
_atom_site_type_symbol
_atom_site_fract_x
_atom_site_fract_y
_atom_site_fract_z
Li1 Li 0.000 0.500 0.250
H1 H 0.000 0.000 0.204
H2 H 0.055 0.341 0.500
Os1 Os 0.000 0.000 0.000
```

Listing ρ for the structures above in their given order: 4237 4273 4769 8185 3917 5738 kg/m3.